The following is a PBE-GGA calculation of crystalline Dy2ScV at its relaxed geometry, from Alexandria.

SG = No. 166
energy of formation = 0.60 eV per atom

Cell lengths 3.293, 3.293, 11.298 Å; angles 81.62, 81.62, 60.00 degrees
Site moments in Bohr magnetons follow the coordinates.
Atoms (fractional coordinates):
Sc1 0.500 0.500 0.500  0.00
V1 0.000 0.000 0.000  2.55
Dy1 0.084 0.084 0.747  0.04
Dy2 0.916 0.916 0.253  0.04

---

The following is a PBE-GGA calculation of crystalline DyScW4 at its relaxed geometry, from Alexandria.

SG = No. 216
energy of formation = 0.10 eV per atom

Cell lengths 5.476, 5.476, 5.476 Å; angles 60.00, 60.00, 60.00 degrees
Atoms (fractional coordinates):
Sc1 0.000 0.000 0.000
W1 0.625 0.625 0.125
W2 0.625 0.125 0.625
W3 0.625 0.625 0.625
W4 0.125 0.625 0.625
Dy1 0.250 0.250 0.250

---

The following is a PBE-GGA calculation of crystalline DyY12Sc5 at its relaxed geometry, from Alexandria.

SG = No. 12
energy of formation = 0.05 eV per atom

Cell lengths 6.079, 6.079, 16.981 Å; angles 93.41, 96.84, 60.00 degrees
Atoms (fractional coordinates):
Dy1 0.000 0.000 0.000
Y1 0.780 0.000 0.340
Y2 0.220 0.000 0.660
Y3 0.609 0.000 0.834
Y4 0.391 0.000 0.166
Y5 0.280 0.665 0.834
Y6 0.055 0.665 0.166
Y7 0.945 0.335 0.834
Y8 0.720 0.335 0.166
Y9 0.553 0.333 0.660
Y10 0.886 0.667 0.660
Y11 0.114 0.333 0.340
Y12 0.447 0.667 0.340
Sc1 0.500 0.000 0.500
Sc2 0.167 0.667 0.500
Sc3 0.833 0.333 0.500
Sc4 0.667 0.667 0.000
Sc5 0.333 0.333 0.000

---

The following is a PBE-GGA calculation of crystalline Dy6YSc2 at its relaxed geometry, from Alexandria.

SG = No. 72
energy of formation = 0.08 eV per atom

Cell lengths 5.501, 11.653, 11.653 Å; angles 48.17, 103.63, 103.63 degrees
Atoms (fractional coordinates):
Dy1 0.830 0.503 0.670
Dy2 0.670 0.330 0.497
Dy3 0.170 0.497 0.330
Dy4 0.330 0.670 0.503
Dy5 0.920 0.920 0.420
Dy6 0.580 0.580 0.080
Dy7 0.080 0.080 0.580
Dy8 0.420 0.420 0.920
Dy9 0.156 0.830 0.997
Dy10 0.344 0.003 0.170
Dy11 0.844 0.170 0.003
Dy12 0.656 0.997 0.830
Y1 0.250 0.250 0.750
Y2 0.750 0.750 0.250
Sc1 0.005 0.667 0.833
Sc2 0.495 0.167 0.333
Sc3 0.995 0.333 0.167
Sc4 0.505 0.833 0.667

---

The following is a PBE-GGA calculation of crystalline Dy12YSc6 at its relaxed geometry, from Alexandria.

SG = No. 204
energy of formation = 0.24 eV per atom

Cell lengths 9.037, 9.037, 9.037 Å; angles 109.47, 109.47, 109.47 degrees
Atoms (fractional coordinates):
Dy1 0.267 0.070 0.803
Dy2 0.267 0.464 0.197
Dy3 0.733 0.536 0.803
Dy4 0.733 0.930 0.197
Dy5 0.070 0.803 0.267
Dy6 0.464 0.197 0.267
Dy7 0.536 0.803 0.733
Dy8 0.930 0.197 0.733
Dy9 0.803 0.267 0.070
Dy10 0.197 0.267 0.464
Dy11 0.803 0.733 0.536
Dy12 0.197 0.733 0.930
Y1 0.000 0.000 0.000
Sc1 0.362 0.500 0.862
Sc2 0.638 0.500 0.138
Sc3 0.500 0.862 0.362
Sc4 0.500 0.138 0.638
Sc5 0.862 0.362 0.500
Sc6 0.138 0.638 0.500

---

The following is a PBE-GGA calculation of crystalline DyY4Sc4 at its relaxed geometry, from Alexandria.

SG = No. 12
energy of formation = 0.03 eV per atom

Cell lengths 3.538, 8.727, 10.499 Å; angles 54.85, 80.30, 78.31 degrees
Atoms (fractional coordinates):
Dy1 0.500 0.000 0.000
Y1 0.303 0.089 0.305
Y2 0.697 0.911 0.695
Y3 0.839 0.383 0.938
Y4 0.161 0.617 0.062
Sc1 0.624 0.360 0.392
Sc2 0.978 0.713 0.331
Sc3 0.376 0.640 0.608
Sc4 0.022 0.287 0.669

---

The following is a PBE-GGA calculation of crystalline DyY12Sc7 at its relaxed geometry, from Alexandria.

SG = No. 148
energy of formation = 0.16 eV per atom

Cell lengths 9.091, 9.091, 9.091 Å; angles 108.45, 108.45, 108.45 degrees
Site moments in Bohr magnetons follow the coordinates.
Atoms (fractional coordinates):
Dy1 0.000 0.000 0.000  0.10
Y1 0.809 0.326 0.616  0.09
Y2 0.674 0.384 0.191  0.09
Y3 0.409 0.076 0.296  0.13
Y4 0.924 0.704 0.591  0.13
Y5 0.384 0.191 0.674  0.09
Y6 0.704 0.591 0.924  0.13
Y7 0.296 0.409 0.076  0.13
Y8 0.616 0.809 0.326  0.09
Y9 0.076 0.296 0.409  0.13
Y10 0.591 0.924 0.704  0.13
Y11 0.326 0.616 0.809  0.09
Y12 0.191 0.674 0.384  0.09
Sc1 0.107 0.688 0.010  0.29
Sc2 0.312 0.990 0.893  0.29
Sc3 0.990 0.893 0.312  0.29
Sc4 0.500 0.500 0.500  0.09
Sc5 0.010 0.107 0.688  0.29
Sc6 0.688 0.010 0.107  0.29
Sc7 0.893 0.312 0.990  0.29

---

The following is a PBE-GGA calculation of crystalline Dy2Y3Sc3 at its relaxed geometry, from Alexandria.

SG = No. 155
energy of formation = 0.23 eV per atom

Cell lengths 6.251, 6.251, 6.251 Å; angles 94.79, 94.79, 85.21 degrees
Site moments in Bohr magnetons follow the coordinates.
Atoms (fractional coordinates):
Dy1 0.251 0.251 0.749  0.48
Dy2 0.749 0.749 0.251  0.48
Y1 0.258 0.742 0.500  0.32
Y2 0.500 0.258 0.258  0.32
Y3 0.742 0.500 0.742  0.32
Sc1 0.224 0.776 0.000  0.45
Sc2 0.000 0.224 0.224  0.45
Sc3 0.776 0.000 0.776  0.45

---

The following is a PBE-GGA calculation of crystalline Dy5YSc5 at its relaxed geometry, from Alexandria.

SG = No. 187
energy of formation = 0.24 eV per atom

Cell lengths 5.785, 5.785, 11.282 Å; angles 90.00, 90.00, 120.00 degrees
Site moments in Bohr magnetons follow the coordinates.
Atoms (fractional coordinates):
Dy1 0.667 0.333 0.161  0.08
Dy2 0.667 0.333 0.839  0.08
Dy3 0.333 0.667 0.320  0.23
Dy4 0.333 0.667 0.680  0.23
Dy5 0.000 0.000 0.000  -0.02
Y1 0.333 0.667 0.000  0.00
Sc1 0.329 0.165 0.500  0.14
Sc2 0.000 0.000 0.269  0.28
Sc3 0.835 0.671 0.500  0.14
Sc4 0.835 0.165 0.500  0.14
Sc5 0.000 0.000 0.731  0.28

---

The following is a PBE-GGA calculation of crystalline DyY12Sc2 at its relaxed geometry, from Alexandria.

SG = No. 125
energy of formation = 0.43 eV per atom

Cell lengths 6.333, 6.333, 25.190 Å; angles 90.00, 90.00, 90.00 degrees
Site moments in Bohr magnetons follow the coordinates.
Atoms (fractional coordinates):
Dy1 0.500 0.000 0.000  0.08
Dy2 0.000 0.500 0.000  0.08
Y1 0.500 0.500 0.784  -0.06
Y2 0.000 0.000 0.784  -0.06
Y3 0.751 0.749 0.888  -0.01
Y4 0.251 0.751 0.888  -0.01
Y5 0.000 0.000 0.338  -0.05
Y6 0.249 0.749 0.112  -0.01
Y7 0.830 0.330 0.562  0.00
Y8 0.500 0.500 0.338  -0.05
Y9 0.249 0.251 0.888  -0.01
Y10 0.749 0.751 0.112  -0.01
Y11 0.330 0.170 0.562  0.00
Y12 0.670 0.170 0.438  0.00
Y13 0.000 0.000 0.662  -0.05
Y14 0.170 0.330 0.438  0.00
Y15 0.251 0.249 0.112  -0.01
Y16 0.830 0.670 0.438  0.00
Y17 0.670 0.830 0.562  0.00
Y18 0.000 0.000 0.216  -0.06
Y19 0.170 0.670 0.562  0.00
Y20 0.500 0.500 0.662  -0.05
Y21 0.749 0.249 0.888  -0.01
Y22 0.500 0.500 0.216  -0.06
Y23 0.330 0.830 0.438  0.00
Y24 0.751 0.251 0.112  -0.01
Sc1 0.500 0.000 0.276  -0.12
Sc2 0.000 0.500 0.276  -0.12
Sc3 0.000 0.500 0.724  -0.12
Sc4 0.500 0.000 0.724  -0.12

---

The following is a PBE-GGA calculation of crystalline Dy6Y5Sc2 at its relaxed geometry, from Alexandria.

SG = No. 55
energy of formation = 0.05 eV per atom

Cell lengths 3.550, 11.284, 20.121 Å; angles 90.00, 90.00, 90.00 degrees
Atoms (fractional coordinates):
Dy1 0.000 0.166 0.383
Dy2 0.000 0.834 0.617
Dy3 0.000 0.666 0.117
Dy4 0.000 0.334 0.883
Dy5 0.500 0.419 0.155
Dy6 0.500 0.581 0.845
Dy7 0.500 0.919 0.345
Dy8 0.500 0.081 0.655
Dy9 0.000 0.719 0.445
Dy10 0.000 0.281 0.555
Dy11 0.000 0.219 0.055
Dy12 0.000 0.781 0.945
Y1 0.500 0.438 0.422
Y2 0.500 0.562 0.578
Y3 0.500 0.938 0.078
Y4 0.500 0.062 0.922
Y5 0.500 0.643 0.280
Y6 0.500 0.357 0.720
Y7 0.500 0.143 0.220
Y8 0.500 0.857 0.780
Y9 0.500 0.500 0.000
Y10 0.500 0.000 0.500
Sc1 0.000 0.383 0.286
Sc2 0.000 0.617 0.714
Sc3 0.000 0.883 0.214
Sc4 0.000 0.117 0.786

---

The following is a PBE-GGA calculation of crystalline Dy6Y12Sc at its relaxed geometry, from Alexandria.

SG = No. 166
energy of formation = 0.38 eV per atom

Cell lengths 9.839, 9.839, 9.839 Å; angles 112.36, 112.36, 112.36 degrees
Atoms (fractional coordinates):
Dy1 0.680 0.361 0.680
Dy2 0.680 0.680 0.361
Dy3 0.361 0.680 0.680
Dy4 0.320 0.320 0.639
Dy5 0.320 0.639 0.320
Dy6 0.639 0.320 0.320
Y1 0.884 0.116 0.500
Y2 0.243 0.930 0.243
Y3 0.243 0.243 0.930
Y4 0.070 0.757 0.757
Y5 0.757 0.757 0.070
Y6 0.757 0.070 0.757
Y7 0.500 0.884 0.116
Y8 0.116 0.500 0.884
Y9 0.116 0.884 0.500
Y10 0.500 0.116 0.884
Y11 0.884 0.500 0.116
Y12 0.930 0.243 0.243
Sc1 0.000 0.000 0.000